Record 1
Sr2ErOsO8 | PBE-GGA | optimized geometry

Summary:
Formation energy (no corrections)   -187 kJ per mole of atoms
Total magnetization   1.07 μB/cell

a = 5.090 Å, b = 5.424 Å, c = 6.748 Å
α = 89.96°, β = 89.94°, γ = 89.68°
Atoms (fractional coordinates):
Sr1 0.000 0.000 0.243
Sr2 0.000 0.000 0.757
Er1 0.500 0.500 0.500
Os1 0.500 0.500 0.000
O1 0.286 0.375 0.208
O2 0.287 0.375 0.793
O3 0.291 0.854 0.500
O4 0.304 0.787 0.000
O5 0.696 0.213 0.000
O6 0.709 0.146 0.500
O7 0.713 0.625 0.207
O8 0.714 0.625 0.792

***

Record 2
TlCrCo2 | PBE-GGA | optimized geometry

Summary:
ΔE to the lowest computed polymorph   0.139 eV/atom
Energy relative to the elements   0.544 eV per atom
Total magnetization   3.69 μB/cell

a = 4.372 Å, b = 4.372 Å, c = 4.959 Å
α = 100.53°, β = 100.53°, γ = 38.28°
Atoms (fractional coordinates):
Tl1 0.000 0.000 0.000
Cr1 0.500 0.500 0.500
Co1 0.237 0.237 0.695
Co2 0.763 0.763 0.305

***

Record 3
AlPbO3 | PBE-GGA | optimized geometry

Summary:
Formation energy (no corrections)   -28 kJ per mole of atoms
Total magnetization   0.00 μB/cell

a = 4.176 Å, b = 4.176 Å, c = 4.176 Å
α = 90.00°, β = 90.00°, γ = 90.00°
Atoms (fractional coordinates):
Al1 0.000 0.000 0.000
Pb1 0.500 0.500 0.500
O1 0.000 0.500 0.500
O2 0.500 0.000 0.500
O3 0.500 0.500 0.000

***

Record 4
RbBPb | PBE-GGA | optimized geometry

Summary:
Energy relative to the elements   0.288 eV per atom
Total magnetization   0.00 μB/cell

a = 12.575 Å, b = 3.269 Å, c = 8.933 Å
α = 90.00°, β = 90.00°, γ = 90.00°
Atoms (fractional coordinates):
Rb1 0.245 0.250 0.025
Rb2 0.255 0.750 0.525
Rb3 0.745 0.250 0.475
Rb4 0.755 0.750 0.975
B1 0.000 0.000 0.000
B2 0.000 0.500 0.000
B3 0.500 0.000 0.500
B4 0.500 0.500 0.500
Pb1 0.003 0.750 0.281
Pb2 0.497 0.250 0.781
Pb3 0.503 0.750 0.219
Pb4 0.997 0.250 0.719

***

Record 5
Cr2TeCl | PBE-GGA | optimized geometry

Summary:
ΔE to the lowest computed polymorph   0.000 eV/atom
Formation energy (no corrections)   -5 kJ per mole of atoms
Total magnetization   9.00 μB/cell

a = 7.278 Å, b = 7.278 Å, c = 4.200 Å
α = 106.68°, β = 106.68°, γ = 30.06°
Atoms (fractional coordinates):
Cr1 0.000 0.000 0.000
Cr2 0.192 0.192 0.692
Te1 0.653 0.653 0.154
Cl1 0.380 0.380 0.881

***

Record 6
CsH6Se2O2 | PBE-GGA | optimized geometry

Summary:
Final energy   -4.080 eV per atom
Total magnetization   0.00 μB/cell

a = 5.200 Å, b = 6.360 Å, c = 6.413 Å
α = 109.43°, β = 105.36°, γ = 100.69°
Atoms (fractional coordinates):
Cs1 0.000 0.000 0.000
H1 0.144 0.672 0.346
H2 0.351 0.675 0.584
H3 0.482 0.667 0.364
H4 0.518 0.333 0.636
H5 0.649 0.325 0.416
H6 0.856 0.328 0.654
Se1 0.288 0.500 0.795
Se2 0.712 0.500 0.205
O1 0.354 0.744 0.456
O2 0.646 0.256 0.544

***

Record 7
Li3La2ZnNi12 | PBE-GGA | optimized geometry

Summary:
Energy relative to the elements   0.142 eV per atom
Total magnetization   0.00 μB/cell

a = 9.334 Å, b = 9.334 Å, c = 9.334 Å
α = 37.27°, β = 37.27°, γ = 37.27°
Atoms (fractional coordinates):
Li1 0.000 0.500 0.500
Li2 0.500 0.000 0.500
Li3 0.500 0.500 0.000
La1 0.152 0.152 0.152
La2 0.848 0.848 0.848
Zn1 0.500 0.500 0.500
Ni1 0.080 0.080 0.688
Ni2 0.080 0.688 0.080
Ni3 0.150 0.566 0.566
Ni4 0.312 0.920 0.920
Ni5 0.434 0.434 0.850
Ni6 0.434 0.850 0.434
Ni7 0.566 0.150 0.566
Ni8 0.566 0.566 0.150
Ni9 0.688 0.080 0.080
Ni10 0.850 0.434 0.434
Ni11 0.920 0.312 0.920
Ni12 0.920 0.920 0.312

***

Record 8
Zr2TlGe | PBE-GGA | optimized geometry

Summary:
Energy relative to the elements   -0.352 eV per atom
Total magnetization   0.00 μB/cell

a = 7.973 Å, b = 7.973 Å, c = 7.973 Å
α = 27.07°, β = 27.07°, γ = 27.07°
Atoms (fractional coordinates):
Zr1 0.235 0.235 0.235
Zr2 0.765 0.765 0.765
Tl1 0.000 0.000 0.000
Ge1 0.500 0.500 0.500

***

Record 9
CrGeN2 | PBE-GGA | optimized geometry

Summary:
Formation energy (no corrections)   4 kJ per mole of atoms
Total magnetization   0.00 μB/cell

a = 6.357 Å, b = 6.357 Å, c = 6.357 Å
α = 25.37°, β = 25.37°, γ = 25.37°
Atoms (fractional coordinates):
Cr1 0.000 0.000 0.000
Ge1 0.500 0.500 0.500
N1 0.394 0.394 0.394
N2 0.606 0.606 0.606

***

Record 10
Tl5GaHg4 | PBE-GGA | optimized geometry

Summary:
ΔE to the lowest computed polymorph   0.000 eV/atom
Energy relative to the elements   0.039 eV per atom
Total magnetization   0.00 μB/cell

a = 8.924 Å, b = 8.924 Å, c = 10.033 Å
α = 103.40°, β = 103.40°, γ = 22.00°
Atoms (fractional coordinates):
Tl1 0.000 0.000 0.000
Tl2 0.324 0.324 0.125
Tl3 0.329 0.329 0.780
Tl4 0.671 0.671 0.220
Tl5 0.676 0.676 0.875
Ga1 0.000 0.000 0.500
Hg1 0.169 0.169 0.542
Hg2 0.500 0.500 0.275
Hg3 0.500 0.500 0.725
Hg4 0.831 0.831 0.458

***

Record 11
SiIr3Pt | PBE-GGA | optimized geometry

Summary:
ΔE to the lowest computed polymorph   0.000 eV/atom
Formation energy (no corrections)   84 kJ per mole of atoms
Total magnetization   0.01 μB/cell

a = 4.392 Å, b = 4.392 Å, c = 4.392 Å
α = 90.00°, β = 90.00°, γ = 90.00°
Atoms (fractional coordinates):
Si1 0.000 0.000 0.000
Ir1 0.000 0.000 0.500
Ir2 0.000 0.500 0.000
Ir3 0.500 0.000 0.000
Pt1 0.500 0.500 0.500

***

Record 12
Sr2TlGe2 | PBE-GGA | optimized geometry

Summary:
Energy relative to the elements   -0.501 eV per atom
Total magnetization   0.00 μB/cell

a = 8.196 Å, b = 8.196 Å, c = 4.593 Å
α = 90.00°, β = 90.00°, γ = 151.16°
Atoms (fractional coordinates):
Sr1 0.134 0.866 0.000
Sr2 0.866 0.134 0.000
Tl1 0.500 0.500 0.500
Ge1 0.298 0.702 0.500
Ge2 0.702 0.298 0.500

***

Among the records above, which one has the highest total magnetization?
Cr2TeCl